Computed, not measured: an optimized crystal structure of NdHo5Tl4 at the PBE level of DFT.

- Calculated formation energy: -0.2641 eV/atom
- DOS at the Fermi energy: 0.86 states/eV/atom
- Crystal system: tetragonal
- DFT total energy: -3.98 eV per atom

Cell: 3.599 3.599 21.870 Å, 90.00 90.00 90.00°
Space group P4/mmm (No. 123)
Unique sites:
Nd1 0.000 0.000 0.000
Ho1 0.500 0.500 0.117
Ho2 0.500 0.500 0.308
Ho3 0.500 0.500 0.500
Tl1 0.000 0.000 0.212
Tl2 0.000 0.000 0.404